# 1
# CaMnAl2Au4 | the Alexandria database | PBE | optimized geometry
data_CaMnAl2Au4
_chemical_formula_sum 'Ca1 Mn1 Al2 Au4'
_space_group_name_H-M_alt 'P 1'
_space_group_IT_number 1
_cell_length_a 4.491
_cell_length_b 4.491
_cell_length_c 9.056
_cell_angle_alpha 75.64
_cell_angle_beta 75.64
_cell_angle_gamma 60.00
loop_
_space_group_symop_operation_xyz
'x,y,z'
loop_
_atom_site_label
_atom_site_fract_x
_atom_site_fract_y
_atom_site_fract_z
Al1 0.239 0.239 0.283
Au1 0.129 0.129 0.614
Au2 0.603 0.603 0.191
Au3 0.397 0.397 0.809
Ca1 0.000 0.000 0.000
Al2 0.761 0.761 0.717
Mn1 0.500 0.500 0.500
Au4 0.871 0.871 0.386
# Crystal system   trigonal
# Fermi-level density of states   3.2 states/eV/cell
# Energy relative to the elements   -0.415 eV/atom
# Symmetry   No. 166
# Total magnetization   4.1 μB/f.u.

=====

# 2
# NaCa2AlAu | the Alexandria database | PBE | optimized geometry
data_NaCa2AlAu
_chemical_formula_sum 'Na1 Ca2 Al1 Au1'
_space_group_name_H-M_alt 'P 1'
_space_group_IT_number 1
_cell_length_a 5.804
_cell_length_b 5.804
_cell_length_c 4.880
_cell_angle_alpha 90.00
_cell_angle_beta 90.00
_cell_angle_gamma 90.00
loop_
_space_group_symop_operation_xyz
'x,y,z'
loop_
_atom_site_label
_atom_site_fract_x
_atom_site_fract_y
_atom_site_fract_z
Ca1 0.000 0.500 0.000
Au1 0.000 0.000 0.000
Al1 0.000 0.000 0.500
Ca2 0.500 0.000 0.000
Na1 0.500 0.500 0.500
# Crystal system   tetragonal
# Fermi-level density of states   3.1 states/eV/cell
# Energy relative to the elements   -0.241 eV/atom
# Symmetry   No. 123
# Total magnetization   0.0 μB/f.u.

=====

# 3
# Ca2Al3NiAu12 | the Alexandria database | PBE | optimized geometry
data_Ca2Al3NiAu12
_chemical_formula_sum 'Ca2 Al3 Ni1 Au12'
_space_group_name_H-M_alt 'P 1'
_space_group_IT_number 1
_cell_length_a 8.329
_cell_length_b 8.329
_cell_length_c 8.329
_cell_angle_alpha 60.32
_cell_angle_beta 60.32
_cell_angle_gamma 60.32
loop_
_space_group_symop_operation_xyz
'x,y,z'
loop_
_atom_site_label
_atom_site_fract_x
_atom_site_fract_y
_atom_site_fract_z
Au1 0.372 0.880 0.372
Au2 0.628 0.120 0.628
Au3 0.880 0.372 0.372
Au4 0.372 0.372 0.880
Ca1 0.635 0.635 0.635
Al1 0.500 0.000 0.000
Au5 0.116 0.636 0.116
Al2 0.000 0.000 0.500
Au6 0.884 0.884 0.364
Au7 0.636 0.116 0.116
Ca2 0.365 0.365 0.365
Au8 0.628 0.628 0.120
Au9 0.884 0.364 0.884
Al3 0.000 0.500 0.000
Au10 0.120 0.628 0.628
Au11 0.116 0.116 0.636
Au12 0.364 0.884 0.884
Ni1 0.000 0.000 0.000
# Crystal system   trigonal
# Fermi-level density of states   6.5 states/eV/cell
# Energy relative to the elements   -0.141 eV/atom
# Symmetry   No. 166
# Total magnetization   0.0 μB/f.u.

=====

# 4
# Ca2Al4NiAu3 | the Alexandria database | PBE | optimized geometry
data_Ca2Al4NiAu3
_chemical_formula_sum 'Ca2 Al4 Ni1 Au3'
_space_group_name_H-M_alt 'P 1'
_space_group_IT_number 1
_cell_length_a 4.284
_cell_length_b 4.284
_cell_length_c 10.764
_cell_angle_alpha 90.00
_cell_angle_beta 90.00
_cell_angle_gamma 90.00
loop_
_space_group_symop_operation_xyz
'x,y,z'
loop_
_atom_site_label
_atom_site_fract_x
_atom_site_fract_y
_atom_site_fract_z
Al1 0.000 0.000 0.000
Ca1 0.500 0.000 0.257
Au1 0.000 0.500 0.141
Au2 0.000 0.000 0.500
Al2 0.500 0.000 0.621
Ni1 0.500 0.500 0.500
Al3 0.000 0.500 0.379
Ca2 0.000 0.500 0.743
Al4 0.500 0.500 0.000
Au3 0.500 0.000 0.859
# Crystal system   tetragonal
# Fermi-level density of states   5.8 states/eV/cell
# Energy relative to the elements   -0.586 eV/atom
# Symmetry   No. 115
# Total magnetization   0.0 μB/f.u.

=====

# 5
# Ca2AlPAu | the Alexandria database | PBE | optimized geometry
data_Ca2AlPAu
_chemical_formula_sum 'Ca2 Al1 P1 Au1'
_space_group_name_H-M_alt 'P 1'
_space_group_IT_number 1
_cell_length_a 5.736
_cell_length_b 4.506
_cell_length_c 5.736
_cell_angle_alpha 90.00
_cell_angle_beta 90.00
_cell_angle_gamma 90.00
loop_
_space_group_symop_operation_xyz
'x,y,z'
loop_
_atom_site_label
_atom_site_fract_x
_atom_site_fract_y
_atom_site_fract_z
Ca1 0.500 0.000 0.000
P1 0.000 0.500 0.000
Ca2 0.000 0.000 0.500
Au1 0.500 0.500 0.500
Al1 0.000 0.000 0.000
# Crystal system   tetragonal
# Fermi-level density of states   1.9 states/eV/cell
# Energy relative to the elements   -0.011 eV/atom
# Symmetry   No. 123
# Total magnetization   0.0 μB/f.u.

=====

# 6
# CaAlPAu2 | the Alexandria database | PBE | optimized geometry
data_CaAlPAu2
_chemical_formula_sum 'Ca1 Al1 P1 Au2'
_space_group_name_H-M_alt 'P 1'
_space_group_IT_number 1
_cell_length_a 5.331
_cell_length_b 6.095
_cell_length_c 5.331
_cell_angle_alpha 90.00
_cell_angle_beta 90.00
_cell_angle_gamma 90.00
loop_
_space_group_symop_operation_xyz
'x,y,z'
loop_
_atom_site_label
_atom_site_fract_x
_atom_site_fract_y
_atom_site_fract_z
Au1 0.000 0.000 0.500
Al1 0.000 0.500 0.000
P1 0.500 0.500 0.500
Au2 0.500 0.000 0.000
Ca1 0.000 0.000 0.000
# Crystal system   tetragonal
# Fermi-level density of states   3.2 states/eV/cell
# Energy relative to the elements   1.149 eV/atom
# Symmetry   No. 123
# Total magnetization   2.1 μB/f.u.

=====

# 7
# CaAl2Pb2Au7 | the Alexandria database | PBE | optimized geometry
data_CaAl2Pb2Au7
_chemical_formula_sum 'Ca1 Al2 Pb2 Au7'
_space_group_name_H-M_alt 'P 1'
_space_group_IT_number 1
_cell_length_a 4.551
_cell_length_b 4.551
_cell_length_c 12.871
_cell_angle_alpha 84.41
_cell_angle_beta 84.41
_cell_angle_gamma 84.59
loop_
_space_group_symop_operation_xyz
'x,y,z'
loop_
_atom_site_label
_atom_site_fract_x
_atom_site_fract_y
_atom_site_fract_z
Al1 0.559 0.559 0.750
Au1 0.661 0.661 0.557
Au2 0.339 0.339 0.443
Au3 0.537 0.037 0.842
Au4 0.463 0.963 0.158
Pb1 0.063 0.063 0.645
Au5 0.963 0.463 0.158
Pb2 0.937 0.937 0.355
Au6 0.500 0.500 0.000
Ca1 0.000 0.000 0.000
Au7 0.037 0.537 0.842
Al2 0.441 0.441 0.250
# Crystal system   monoclinic
# Fermi-level density of states   2.9 states/eV/cell
# Energy relative to the elements   -0.296 eV/atom
# Symmetry   No. 12
# Total magnetization   0.0 μB/f.u.

=====

# 8
# CaAlPdAu | the Alexandria database | PBE | optimized geometry
data_CaAlPdAu
_chemical_formula_sum 'Ca1 Al1 Pd1 Au1'
_space_group_name_H-M_alt 'P 1'
_space_group_IT_number 1
_cell_length_a 4.743
_cell_length_b 4.743
_cell_length_c 4.743
_cell_angle_alpha 60.00
_cell_angle_beta 60.00
_cell_angle_gamma 60.00
loop_
_space_group_symop_operation_xyz
'x,y,z'
loop_
_atom_site_label
_atom_site_fract_x
_atom_site_fract_y
_atom_site_fract_z
Ca1 0.250 0.250 0.250
Al1 0.750 0.750 0.750
Pd1 0.500 0.500 0.500
Au1 0.000 0.000 0.000
# Crystal system   cubic
# Fermi-level density of states   1.3 states/eV/cell
# Energy relative to the elements   -0.594 eV/atom
# Symmetry   No. 216
# Total magnetization   0.0 μB/f.u.

=====

# 9
# CaAl2PdAu4 | the Alexandria database | PBE | optimized geometry
data_CaAl2PdAu4
_chemical_formula_sum 'Ca1 Al2 Pd1 Au4'
_space_group_name_H-M_alt 'P 1'
_space_group_IT_number 1
_cell_length_a 5.217
_cell_length_b 5.217
_cell_length_c 5.778
_cell_angle_alpha 90.00
_cell_angle_beta 90.00
_cell_angle_gamma 90.00
loop_
_space_group_symop_operation_xyz
'x,y,z'
loop_
_atom_site_label
_atom_site_fract_x
_atom_site_fract_y
_atom_site_fract_z
Al1 0.500 0.500 0.241
Al2 0.500 0.500 0.759
Ca1 0.000 0.000 0.000
Au1 0.500 0.000 0.260
Au2 0.000 0.500 0.740
Au3 0.500 0.000 0.740
Au4 0.000 0.500 0.260
Pd1 0.000 0.000 0.500
# Crystal system   tetragonal
# Fermi-level density of states   2.6 states/eV/cell
# Energy relative to the elements   -0.301 eV/atom
# Symmetry   No. 123
# Total magnetization   0.0 μB/f.u.

=====

# 10
# Ca2Al5Pd2Au | the Alexandria database | PBE | optimized geometry
data_Ca2Al5Pd2Au
_chemical_formula_sum 'Ca4 Al10 Pd4 Au2'
_space_group_name_H-M_alt 'P 1'
_space_group_IT_number 1
_cell_length_a 4.056
_cell_length_b 9.683
_cell_length_c 9.683
_cell_angle_alpha 90.00
_cell_angle_beta 90.00
_cell_angle_gamma 90.00
loop_
_space_group_symop_operation_xyz
'x,y,z'
loop_
_atom_site_label
_atom_site_fract_x
_atom_site_fract_y
_atom_site_fract_z
Al1 0.500 0.203 0.056
Al2 0.500 0.297 0.556
Al3 0.500 0.500 0.000
Al4 0.500 0.056 0.797
Al5 0.500 0.556 0.703
Ca1 0.000 0.316 0.816
Al6 0.500 0.703 0.444
Pd1 0.000 0.887 0.387
Al7 0.500 0.944 0.203
Al8 0.500 0.797 0.944
Al9 0.500 0.000 0.500
Ca2 0.000 0.184 0.316
Au1 0.000 0.000 0.000
Pd2 0.000 0.387 0.113
Ca3 0.000 0.816 0.684
Al10 0.500 0.444 0.297
Ca4 0.000 0.684 0.184
Pd3 0.000 0.113 0.613
Au2 0.000 0.500 0.500
Pd4 0.000 0.613 0.887
# Crystal system   tetragonal
# Fermi-level density of states   9.2 states/eV/cell
# Energy relative to the elements   -0.532 eV/atom
# Symmetry   No. 127
# Total magnetization   0.0 μB/f.u.

=====

# 11
# Ca2Al4PdAu3 | the Alexandria database | PBE | optimized geometry
data_Ca2Al4PdAu3
_chemical_formula_sum 'Ca2 Al4 Pd1 Au3'
_space_group_name_H-M_alt 'P 1'
_space_group_IT_number 1
_cell_length_a 4.331
_cell_length_b 4.331
_cell_length_c 10.761
_cell_angle_alpha 90.00
_cell_angle_beta 90.00
_cell_angle_gamma 90.00
loop_
_space_group_symop_operation_xyz
'x,y,z'
loop_
_atom_site_label
_atom_site_fract_x
_atom_site_fract_y
_atom_site_fract_z
Au1 0.500 0.000 0.861
Au2 0.000 0.000 0.500
Al1 0.000 0.000 0.000
Pd1 0.500 0.500 0.500
Al2 0.000 0.500 0.375
Al3 0.500 0.500 0.000
Al4 0.500 0.000 0.625
Au3 0.000 0.500 0.139
Ca1 0.000 0.500 0.748
Ca2 0.500 0.000 0.252
# Crystal system   tetragonal
# Fermi-level density of states   4.9 states/eV/cell
# Energy relative to the elements   -0.685 eV/atom
# Symmetry   No. 115
# Total magnetization   0.0 μB/f.u.

=====

# 12
# CaAl3PdAu | the Alexandria database | PBE | optimized geometry
data_CaAl3PdAu
_chemical_formula_sum 'Ca2 Al6 Pd2 Au2'
_space_group_name_H-M_alt 'P 1'
_space_group_IT_number 1
_cell_length_a 5.765
_cell_length_b 6.444
_cell_length_c 7.112
_cell_angle_alpha 116.94
_cell_angle_beta 90.00
_cell_angle_gamma 90.00
loop_
_space_group_symop_operation_xyz
'x,y,z'
loop_
_atom_site_label
_atom_site_fract_x
_atom_site_fract_y
_atom_site_fract_z
Ca1 0.750 0.282 0.563
Au1 0.250 0.345 0.690
Ca2 0.250 0.718 0.437
Al1 0.000 0.297 0.000
Pd1 0.750 0.064 0.129
Al2 0.500 0.703 0.000
Al3 0.000 0.703 0.000
Pd2 0.250 0.936 0.871
Al4 0.250 0.138 0.277
Al5 0.750 0.862 0.723
Au2 0.750 0.655 0.310
Al6 0.500 0.297 0.000
# Crystal system   orthorhombic
# Fermi-level density of states   4.6 states/eV/cell
# Energy relative to the elements   -0.500 eV/atom
# Symmetry   No. 63
# Total magnetization   0.0 μB/f.u.

=====

Which value of Fermi-level density of states does entry 2 give? 3.1 states/eV/cell